Material: PrNdDy3Tm
Method: DFT, PBE-GGA
State: optimized geometry

a b c (Å): 5.0741 8.0138 10.1502
angles (deg): 90.00 90.00 108.46
Element x y z (fractional)
1 Pr 0.0000 0.0000 0.5000
2 Pr 0.0000 0.0000 0.0000
3 Dy 0.8310 0.6621 0.2500
4 Dy 0.6688 0.3376 0.0000
5 Dy 0.1690 0.3379 0.7500
6 Dy 0.3312 0.6624 0.5000
7 Dy 0.6688 0.3376 0.5000
8 Dy 0.3312 0.6624 0.0000
9 Tm 0.8313 0.6626 0.7500
10 Tm 0.1687 0.3374 0.2500
11 Nd 0.4997 0.9993 0.7500
12 Nd 0.5003 0.0007 0.2500

* DOS(E_F): 1.454 states/eV/atom
* calculated formation energy: 0.02 eV per atom
* ρ: 7.987 g/cm3


Material: Pr2NdDy6Tm3
Method: DFT, PBE-GGA
State: optimized geometry

a b c (Å): 6.1856 6.1856 11.8119
angles (deg): 95.00 95.00 119.97
Element x y z (fractional)
1 Tm 0.5000 0.5000 0.5000
2 Tm 0.1666 0.8334 0.5000
3 Tm 0.8334 0.1666 0.5000
4 Dy 0.0862 0.4194 0.2559
5 Dy 0.5806 0.9138 0.7441
6 Dy 0.4194 0.0862 0.2559
7 Dy 0.2469 0.2469 0.7441
8 Dy 0.9138 0.5806 0.7441
9 Dy 0.7531 0.7531 0.2559
10 Pr 0.3333 0.6667 0.0000
11 Pr 0.6667 0.3333 0.0000
12 Nd 0.0000 0.0000 0.0000

* DOS(E_F): 1.371 states/eV/atom
* calculated formation energy: 0.02 eV per atom
* ρ: 8.217 g/cm3


Material: PrNd2Dy6Tm3
Method: DFT, PBE-GGA
State: optimized geometry

a b c (Å): 6.1791 6.1791 11.8046
angles (deg): 94.99 94.99 119.96
Element x y z (fractional)
1 Dy 0.2478 0.2478 0.7443
2 Dy 0.0856 0.4191 0.2557
3 Dy 0.9144 0.5809 0.7443
4 Dy 0.7522 0.7522 0.2557
5 Dy 0.5809 0.9144 0.7443
6 Dy 0.4191 0.0856 0.2557
7 Pr 0.0000 0.0000 0.0000
8 Nd 0.3333 0.6667 0.0000
9 Nd 0.6667 0.3333 0.0000
10 Tm 0.8333 0.1667 0.5000
11 Tm 0.1667 0.8333 0.5000
12 Tm 0.5000 0.5000 0.5000

* DOS(E_F): 1.362 states/eV/atom
* calculated formation energy: 0.02 eV per atom
* ρ: 8.254 g/cm3


Material: Pr2NdDy5Tm
Method: DFT, PBE-GGA
State: optimized geometry

a b c (Å): 8.7230 8.7230 9.9698
angles (deg): 115.94 115.94 90.00
Element x y z (fractional)
1 Dy 0.1489 0.0722 0.7211
2 Dy 0.0000 0.0000 0.0000
3 Dy 0.5000 0.5000 0.0000
4 Dy 0.5722 0.6489 0.7211
5 Dy 0.3511 0.8511 0.2789
6 Dy 0.4278 0.3511 0.2789
7 Dy 0.0722 0.5722 0.7211
8 Dy 0.8511 0.9278 0.2789
9 Dy 0.9278 0.4278 0.2789
10 Dy 0.6489 0.1489 0.7211
11 Pr 0.1179 0.3821 0.0000
12 Pr 0.3821 0.8821 0.0000
13 Pr 0.6179 0.1179 0.0000
14 Pr 0.8821 0.6179 0.0000
15 Tm 0.7500 0.2500 0.5000
16 Tm 0.2500 0.7500 0.5000
17 Nd 0.2500 0.2500 0.5000
18 Nd 0.7500 0.7500 0.5000

* DOS(E_F): 1.204 states/eV/atom
* calculated formation energy: 0.27 eV per atom
* ρ: 7.843 g/cm3


Q: What is the DOS(E_F) in the fourth record?
A: 1.204 states/eV/atom